(1)
A plane-wave DFT calculation with GGA-PBEsol was carried out for a relaxed structure of KAgMo2.

As for the total energy: -6.171 eV per atom. As for the formation energy: 0.825 eV per atom. For the energy above the most stable polymorph in this dataset, the calculation gives 0 kJ/mol of formula units.

It has space group P4mm (No. 99), with a = 2.684 Å, b = 2.684 Å, c = 10.391 Å, α = 90.00°, β = 90.00° and γ = 90.00°. The inequivalent atoms are K at (0.000, 0.000, 0.000), Ag at (0.500, 0.500, 0.723), Mo at (0.000, 0.000, 0.512) and Mo at (0.500, 0.500, 0.300).

(2)
A plane-wave DFT calculation with GGA-PBEsol was carried out for a relaxed structure of KAgMo2.

As for the total energy: -6.014 eV per atom. As for the formation energy: 0.981 eV per atom. For the energy above the most stable polymorph in this dataset, the calculation gives 60 kJ/mol of formula units.

It has space group Immm (No. 71), with a = 2.595 Å, b = 5.057 Å, c = 11.693 Å, α = 90.00°, β = 90.00° and γ = 90.00°. The inequivalent atoms are K at (0.000, 0.000, 0.000), Ag at (0.000, 0.000, 0.500) and Mo at (0.000, 0.500, 0.219).

(3)
A plane-wave DFT calculation with GGA-PBEsol was carried out for a relaxed structure of KAgMo2Rh.

As for the total energy: -5.774 eV per atom. As for the formation energy: 1.450 eV per atom.

It has space group P4/mmm (No. 123), with a = 4.740 Å, b = 4.740 Å, c = 5.262 Å, α = 90.00°, β = 90.00° and γ = 90.00°. The inequivalent atoms are K at (0.000, 0.000, 0.000), Ag at (0.500, 0.500, 0.000), Mo at (0.000, 0.500, 0.500) and Rh at (0.500, 0.500, 0.500).

(4)
A plane-wave DFT calculation with GGA-PBEsol was carried out for a relaxed structure of K2AgSbMo.

As for the total energy: -3.193 eV per atom. As for the raw formation energy: 1.19 eV per atom.

It has space group P4/mmm (No. 123), with a = 6.604 Å, b = 6.604 Å, c = 5.078 Å, α = 90.00°, β = 90.00° and γ = 90.00°. The inequivalent atoms are K at (0.000, 0.500, 0.000), Ag at (0.000, 0.000, 0.500), Sb at (0.000, 0.000, 0.000) and Mo at (0.500, 0.500, 0.500).

Which formula does entry 2 have?
KAgMo2

Number 3 is which compound?
KAgMo2Rh